{
  "formula": "Ni2SnHSe",
  "functional": "meta-GGA SCAN",
  "state": "PBEsol geometry",
  "final_energy_ev_per_cell": -88.1,
  "m_tot_mub_per_atom": 0.000,
  "spacegroup": "P4/mmm",
  "lattice_angstrom": [[3.515, 0.000, 0.000], [0.000, 4.718, 0.000], [0.000, 0.000, 4.718]],
  "species": ["Ni", "Ni", "Sn", "Se", "H"],
  "frac_coords": [[0.000, 0.000, 0.500], [0.000, 0.500, 0.000], [0.000, 0.000, 0.000], [0.500, 0.500, 0.500], [0.500, 0.000, 0.000]]
}